Here is a geometry-optimized RbBiSe2Br structure from Alexandria via LeMat-Bulk. Energies are from PBE-GGA.

Computed properties:
energy above the most stable polymorph in this dataset = 0 meV/atom
formation energy from raw total energies = -2.9 eV/f.u.
Fermi-level density of states = 0.56 states/eV/atom
calculated volume = 183.2 Å³/f.u.
space group = P4/mmm (123)

Unit cell a=5.5454 b=5.5454 c=5.9577 alpha=90.00 beta=90.00 gamma=90.00
Fractional coordinates of all 5 atoms:
Rb (0.0000, 0.0000, 0.0000)
Bi (0.5000, 0.5000, 0.5000)
Se (0.0000, 0.5000, 0.5000)
Se (0.5000, 0.0000, 0.5000)
Br (0.5000, 0.5000, 0.0000)